First-principles (GGA-PBE) data for an optimized crystal structure of Ac2SmCo, as listed in Alexandria via LeMat-Bulk.

Unit cell a=4.000 b=4.000 c=29.141 alpha=90.00 beta=90.00 gamma=120.00
Sites, in units of the cell vectors:
Ac1 0.000 0.000 0.224
Ac2 0.000 0.000 0.776
Ac3 0.333 0.667 0.442
Ac4 0.333 0.667 0.891
Ac5 0.667 0.333 0.109
Ac6 0.667 0.333 0.558
Sm1 0.000 0.000 0.000
Sm2 0.333 0.667 0.667
Sm3 0.667 0.333 0.333
Co1 0.000 0.000 0.500
Co2 0.333 0.667 0.167
Co3 0.667 0.333 0.833

Results
ΔH_f (0 K)   34 kJ/mol of formula units
ΔE to the lowest computed polymorph   114 meV/atom

=====

First-principles (GGA-PBE) data for an optimized crystal structure of AcSmCo4, as listed in Alexandria via LeMat-Bulk.

Unit cell a=5.234 b=5.234 c=5.234 alpha=60.00 beta=60.00 gamma=60.00
Sites, in units of the cell vectors:
Ac1 0.000 0.000 0.000
Sm1 0.250 0.250 0.250
Co1 0.127 0.624 0.624
Co2 0.624 0.127 0.624
Co3 0.624 0.624 0.127
Co4 0.624 0.624 0.624

Results
ΔH_f (0 K)   31 kJ/mol of formula units
ΔE to the lowest computed polymorph   88 meV/atom

=====

First-principles (GGA-PBE) data for an optimized crystal structure of Ac3SmCo2, as listed in Alexandria via LeMat-Bulk.

Unit cell a=9.032 b=9.032 c=13.162 alpha=125.06 beta=125.06 gamma=26.89
Sites, in units of the cell vectors:
Ac1 0.062 0.062 0.194
Ac2 0.181 0.181 0.553
Ac3 0.310 0.310 0.943
Ac4 0.690 0.690 0.057
Ac5 0.819 0.819 0.447
Ac6 0.938 0.938 0.806
Sm1 0.441 0.441 0.300
Sm2 0.559 0.559 0.700
Co1 0.123 0.123 0.871
Co2 0.375 0.375 0.626
Co3 0.625 0.625 0.374
Co4 0.877 0.877 0.129

Results
ΔH_f (0 K)   -18 kJ/mol of formula units

=====

First-principles (GGA-PBE) data for an optimized crystal structure of AcSm2Co, as listed in Alexandria via LeMat-Bulk.

Unit cell a=7.211 b=9.994 c=6.567 alpha=90.00 beta=90.00 gamma=90.00
Sites, in units of the cell vectors:
Ac1 0.048 0.250 0.143
Ac2 0.452 0.750 0.643
Ac3 0.548 0.250 0.357
Ac4 0.952 0.750 0.857
Sm1 0.167 0.073 0.674
Sm2 0.167 0.427 0.674
Sm3 0.333 0.573 0.174
Sm4 0.333 0.927 0.174
Sm5 0.667 0.073 0.826
Sm6 0.667 0.427 0.826
Sm7 0.833 0.573 0.326
Sm8 0.833 0.927 0.326
Co1 0.117 0.750 0.418
Co2 0.383 0.250 0.918
Co3 0.617 0.750 0.082
Co4 0.883 0.250 0.582

Results
ΔH_f (0 K)   -24 kJ/mol of formula units
ΔE to the lowest computed polymorph   0 meV/atom

=====

First-principles (GGA-PBE) data for an optimized crystal structure of AcSmCo, as listed in Alexandria via LeMat-Bulk.

Unit cell a=12.054 b=3.901 c=9.229 alpha=90.00 beta=127.33 gamma=90.00
Sites, in units of the cell vectors:
Ac1 0.192 0.000 0.122
Ac2 0.308 0.500 0.878
Ac3 0.692 0.500 0.122
Ac4 0.808 0.000 0.878
Sm1 0.078 0.500 0.373
Sm2 0.422 0.000 0.627
Sm3 0.578 0.000 0.373
Sm4 0.922 0.500 0.627
Co1 0.121 0.000 0.612
Co2 0.379 0.500 0.388
Co3 0.621 0.500 0.612
Co4 0.879 0.000 0.388

Results
ΔH_f (0 K)   -6 kJ/mol of formula units
ΔE to the lowest computed polymorph   6 meV/atom

=====

First-principles (GGA-PBE) data for an optimized crystal structure of Ac6SmCo2, as listed in Alexandria via LeMat-Bulk.

Unit cell a=8.980 b=8.980 c=10.283 alpha=111.70 beta=111.70 gamma=58.64
Sites, in units of the cell vectors:
Ac1 0.057 0.662 0.454
Ac2 0.084 0.662 0.835
Ac3 0.256 0.431 0.120
Ac4 0.338 0.916 0.665
Ac5 0.338 0.943 0.046
Ac6 0.431 0.256 0.620
Ac7 0.569 0.744 0.380
Ac8 0.662 0.057 0.954
Ac9 0.662 0.084 0.335
Ac10 0.744 0.569 0.880
Ac11 0.916 0.338 0.165
Ac12 0.943 0.338 0.546
Sm1 0.088 0.912 0.250
Sm2 0.912 0.088 0.750
Co1 0.122 0.281 0.824
Co2 0.281 0.122 0.324
Co3 0.719 0.878 0.676
Co4 0.878 0.719 0.176

Results
ΔH_f (0 K)   83 kJ/mol of formula units

=====

First-principles (GGA-PBE) data for an optimized crystal structure of AcSmCo4, as listed in Alexandria via LeMat-Bulk.

Unit cell a=3.936 b=4.303 c=6.844 alpha=90.00 beta=90.00 gamma=90.00
Sites, in units of the cell vectors:
Ac1 0.000 0.000 0.000
Sm1 0.500 0.000 0.500
Co1 0.000 0.500 0.337
Co2 0.000 0.500 0.663
Co3 0.500 0.500 0.171
Co4 0.500 0.500 0.829

Results
ΔH_f (0 K)   -19 kJ/mol of formula units
ΔE to the lowest computed polymorph   0 meV/atom

=====

First-principles (GGA-PBE) data for an optimized crystal structure of AcSm2Co, as listed in Alexandria via LeMat-Bulk.

Unit cell a=3.818 b=9.967 c=6.519 alpha=90.00 beta=107.01 gamma=90.00
Sites, in units of the cell vectors:
Ac1 0.086 0.250 0.173
Ac2 0.914 0.750 0.827
Sm1 0.356 0.075 0.712
Sm2 0.356 0.425 0.712
Sm3 0.644 0.575 0.288
Sm4 0.644 0.925 0.288
Co1 0.236 0.750 0.472
Co2 0.764 0.250 0.528

Results
ΔH_f (0 K)   -17 kJ/mol of formula units
ΔE to the lowest computed polymorph   18 meV/atom

=====

| no. | calculated total energy (eV per formula unit) |
| --- | --- |
| 1 | -19.69 |
| 2 | -36.93 |
| 3 | -31.44 |
| 4 | -20.90 |
| 5 | -16.00 |
| 6 | -42.73 |
| 7 | -37.45 |
| 8 | -20.83 |